Li4Cr3CoO8: optimized geometry, PBE+U. Values from VASP.

Cell and atoms, written as Quantum ESPRESSO input:
```
&SYSTEM
  ibrav = 0, nat = 16, ntyp = 4
/
ATOMIC_SPECIES
Li 6.94 Li.upf
Cr 52.00 Cr.upf
Co 58.93 Co.upf
O 16.00 O.upf
ATOMIC_POSITIONS angstrom
Li 0.0000 0.0000 0.0000
Li 0.0000 2.9349 0.0000
Li 2.5393 1.4289 0.0000
Li 2.5393 4.4410 0.0000
Cr -0.8445 1.4516 2.4156
Cr -0.8445 4.4183 2.4156
Cr 1.6948 2.9349 2.4156
Co 1.6948 0.0000 2.4156
O -0.0074 2.9349 3.5140
O 0.0465 0.0000 3.4917
O 0.8663 1.4303 1.3360
O 0.8663 4.4395 1.3360
O 2.5233 1.4303 3.4952
O 2.5233 4.4395 3.4952
O 3.3431 0.0000 1.3395
O 3.3969 2.9349 1.3173
CELL_PARAMETERS angstrom
5.0786 0.0000 0.0000
0.0000 5.8699 0.0000
-1.6890 0.0000 4.8312
```

* energy: -6.587 eV per atom
* energy above the most stable polymorph in this dataset: 1 meV/atom
* calculated volume: 144.0 Å³ per cell
* SG: P2/m, No. 10

***

Li4Cr3CoO8: optimized geometry, PBE+U. Values from VASP.

Cell and atoms, written as Quantum ESPRESSO input:
```
&SYSTEM
  ibrav = 0, nat = 32, ntyp = 4
/
ATOMIC_SPECIES
Li 6.94 Li.upf
Cr 52.00 Cr.upf
Co 58.93 Co.upf
O 16.00 O.upf
ATOMIC_POSITIONS angstrom
Li 1.2691 3.3698 1.4585
Li 1.2882 2.1927 7.1651
Li 2.1270 5.4182 3.3984
Li 2.9764 7.4635 5.2775
Li 5.5043 0.7700 2.3889
Li 6.3537 2.8152 4.2680
Li 7.1924 6.0407 0.5014
Li 7.2115 4.8636 6.2079
Cr 4.6455 5.7065 1.9507
Cr 2.9822 0.4447 3.8332
Cr 2.9825 1.0404 0.9668
Cr 3.8170 3.6720 0.0000
Cr 5.4982 7.1930 6.6996
Cr 3.8351 2.5269 5.7157
Co 3.8226 3.0957 2.8812
Co 4.6581 5.1377 4.7852
O 2.2313 1.2995 5.4982
O 3.0692 3.3499 7.4065
O 3.8973 7.1544 0.7225
O 3.0667 4.4794 1.7048
O 3.9112 6.5454 3.6285
O 2.2586 1.9108 2.6384
O 3.9144 5.9691 6.4201
O 3.1221 3.9550 4.4955
O 5.3585 4.2784 3.1709
O 4.5662 2.2643 1.2464
O 6.2220 6.3226 5.0280
O 4.5695 1.6880 4.0379
O 5.4139 3.7541 5.9616
O 4.5834 1.0790 6.9440
O 5.4114 4.8836 0.2599
O 6.2494 6.9339 2.1683
CELL_PARAMETERS angstrom
5.1177 0.0000 0.0000
2.5162 7.3440 0.0000
0.8467 0.8895 7.6665
```

* energy: -6.589 eV per atom
* energy above the most stable polymorph in this dataset: 0 meV/atom
* calculated volume: 288.1 Å³ per cell
* SG: P-1, No. 2

***

Li3CrCo3O8: optimized geometry, PBE+U. Values from VASP.

Cell and atoms, written as Quantum ESPRESSO input:
```
&SYSTEM
  ibrav = 0, nat = 15, ntyp = 4
/
ATOMIC_SPECIES
Li 6.94 Li.upf
Cr 52.00 Cr.upf
Co 58.93 Co.upf
O 16.00 O.upf
ATOMIC_POSITIONS angstrom
Li -1.4213 -0.8206 4.8384
Li -1.4213 0.8206 9.6769
Li 0.0000 1.6412 4.8384
Cr 0.0000 0.0000 7.2577
Co -2.8426 0.0000 7.2577
Co -1.4213 0.8206 2.4192
Co 1.4213 0.8206 2.4192
O 0.0000 0.0000 3.4520
O -1.4097 -0.8139 8.2902
O 0.0000 -1.6278 6.2251
O -1.4097 0.8139 6.2251
O 1.4097 -0.8139 8.2902
O 0.0000 1.6278 8.2902
O 1.4097 0.8139 6.2251
O 0.0000 0.0000 11.0633
CELL_PARAMETERS angstrom
2.8426 1.6412 4.8384
-2.8426 1.6412 4.8384
0.0000 -3.2823 4.8384
```

* energy: -5.985 eV per atom
* energy above the most stable polymorph in this dataset: 0 meV/atom
* calculated volume: 135.4 Å³ per cell
* SG: R-3m, No. 166

***

Li3CrCo3O8: optimized geometry, PBE+U. Values from VASP.

Cell and atoms, written as Quantum ESPRESSO input:
```
&SYSTEM
  ibrav = 0, nat = 30, ntyp = 4
/
ATOMIC_SPECIES
Li 6.94 Li.upf
Cr 52.00 Cr.upf
Co 58.93 Co.upf
O 16.00 O.upf
ATOMIC_POSITIONS angstrom
Li 0.9368 1.4608 4.7395
Li 1.7568 0.1267 2.3259
Li 0.1298 -0.1267 7.0654
Li 2.5638 -1.4608 0.0000
Li 6.8714 0.1267 2.4137
Li 5.2444 -0.1267 7.1532
Cr 4.3141 1.5813 2.3698
Cr 2.6871 -1.5813 7.1093
Co 0.0000 0.0000 0.0000
Co -1.6270 0.0000 4.7395
Co 2.6871 1.3353 7.1093
Co 5.1276 0.0000 0.0000
Co 3.5006 0.0000 4.7395
Co 4.3141 -1.3353 2.3698
O -0.1354 0.1963 3.4752
O 2.7221 1.6336 3.5800
O -1.7624 -0.1963 8.2148
O 1.1767 1.2846 8.2464
O 5.9061 1.6336 1.1596
O 4.1975 1.2846 5.9722
O 3.6329 0.0283 1.2438
O 2.0059 -0.0283 5.9834
O 4.9954 0.0283 3.4957
O 3.3684 -0.0283 8.2353
O 2.8037 -1.2846 3.5069
O 1.0951 -1.6336 8.3195
O 5.8245 -1.2846 1.2327
O 8.7637 0.1963 1.2643
O 4.2791 -1.6336 5.8991
O 7.1367 -0.1963 6.0039
CELL_PARAMETERS angstrom
5.1276 -2.9217 0.0000
5.1276 2.9217 0.0000
-3.2540 0.0000 9.4791
```

* energy: -5.984 eV per atom
* energy above the most stable polymorph in this dataset: 1 meV/atom
* calculated volume: 284.0 Å³ per cell
* SG: C2/c, No. 15

***

Li4Cr3Co3Sb2O16: optimized geometry, PBE+U. Values from VASP.

Cell and atoms, written as Quantum ESPRESSO input:
```
&SYSTEM
  ibrav = 0, nat = 28, ntyp = 5
/
ATOMIC_SPECIES
Li 6.94 Li.upf
Cr 52.00 Cr.upf
Co 58.93 Co.upf
Sb 121.76 Sb.upf
O 16.00 O.upf
ATOMIC_POSITIONS angstrom
Li 0.0000 0.0000 0.0000
Li -0.0495 0.0000 4.7555
Li 3.2268 0.0000 3.8907
Li 6.5441 0.0000 8.7108
Cr 4.0581 1.4364 6.8840
Cr 4.0581 -1.4364 6.8840
Cr 8.3307 0.0000 2.1068
Co 1.5865 0.0000 6.8969
Co 5.8471 1.4308 2.1102
Co 5.8471 -1.4308 2.1102
Sb 3.1875 0.0000 9.5240
Sb 6.6248 0.0000 4.7097
O 10.0283 0.0000 7.7715
O -0.0329 0.0000 2.9768
O 2.4192 1.2990 8.0897
O 4.1870 1.5003 0.9737
O 1.5932 0.0000 1.0291
O 5.7790 1.4893 5.7671
O 3.2031 0.0000 5.8765
O 2.4192 -1.2990 8.0897
O 4.7085 0.0000 8.1352
O 7.3694 1.3253 3.3076
O 5.1307 0.0000 3.2567
O 6.6222 0.0000 1.1321
O 4.1870 -1.5003 0.9737
O 5.7790 -1.4893 5.7671
O 8.3598 0.0000 5.6995
O 7.3694 -1.3253 3.3076
CELL_PARAMETERS angstrom
5.0680 -2.9280 0.0000
5.0680 2.9280 0.0000
-0.1273 0.0000 9.5554
```

* energy: -6.317 eV per atom
* calculated volume: 283.6 Å³ per cell
* SG: Cm, No. 8

***

Li4Cr2Co3Sb3O16: optimized geometry, PBE+U. Values from VASP.

Cell and atoms, written as Quantum ESPRESSO input:
```
&SYSTEM
  ibrav = 0, nat = 28, ntyp = 5
/
ATOMIC_SPECIES
Li 6.94 Li.upf
Cr 52.00 Cr.upf
Co 58.93 Co.upf
Sb 121.76 Sb.upf
O 16.00 O.upf
ATOMIC_POSITIONS angstrom
Li 0.0000 0.0000 0.0000
Li 0.0747 0.0548 5.0385
Li -0.1085 3.5210 0.9772
Li 2.7831 1.6419 6.0630
Cr -0.3552 3.3389 5.1215
Cr 2.8606 1.6525 0.0860
Co -0.2625 1.5611 7.6578
Co -1.7209 4.1593 7.6318
Co 1.3346 0.8198 2.7746
Sb 1.2440 4.1484 7.6333
Sb 2.8295 3.4216 2.8134
Sb 4.3201 0.8113 2.8156
O -1.6199 2.6383 6.4240
O -0.2663 1.6060 3.9098
O -1.7751 4.2863 3.8822
O 1.2727 0.5733 8.7151
O -0.2796 3.3674 8.6623
O -0.2919 4.8874 6.4356
O 1.0906 2.6192 6.3189
O 1.5537 2.5386 1.5750
O 2.9118 0.1560 1.5799
O 1.3639 4.3560 3.8990
O 2.8745 1.7118 3.9173
O 4.2663 0.5532 8.7651
O 2.7798 3.2916 8.7074
O 4.2366 2.4905 1.6138
O 2.8102 5.1739 1.8033
O 2.8151 4.9876 6.7423
CELL_PARAMETERS angstrom
6.0427 0.0000 0.0000
-2.9931 5.2808 0.0000
-0.1414 -0.2260 9.6336
```

* energy: -6.204 eV per atom
* calculated volume: 307.4 Å³ per cell
* SG: P1, No. 1

***

Li4Cr2Co3Sn3O16: optimized geometry, PBE+U. Values from VASP.

Cell and atoms, written as Quantum ESPRESSO input:
```
&SYSTEM
  ibrav = 0, nat = 28, ntyp = 5
/
ATOMIC_SPECIES
Li 6.94 Li.upf
Cr 52.00 Cr.upf
Co 58.93 Co.upf
Sn 118.71 Sn.upf
O 16.00 O.upf
ATOMIC_POSITIONS angstrom
Li 0.0000 0.0000 0.0000
Li 0.2399 0.1985 4.9036
Li 3.3927 1.9959 3.9153
Li 6.4288 3.8309 8.5623
Cr 3.4469 2.0635 9.4883
Cr 6.3563 3.6962 4.7802
Co 3.3729 3.7330 6.9029
Co 4.8533 1.1768 6.9323
Co 7.7633 4.5390 2.1792
Sn 1.9160 1.1604 6.9227
Sn 4.8353 4.5590 2.1232
Sn 6.3192 1.9749 2.1179
O 1.7223 2.9868 3.3705
O 0.2748 0.1738 3.1217
O 0.3231 0.2238 7.8194
O 2.1524 2.8929 8.1277
O 3.2638 3.6913 1.0736
O 1.7890 1.0549 0.9260
O 4.7582 4.5470 5.8452
O 3.4727 2.0722 5.9172
O 4.7036 2.8173 8.0158
O 3.4896 0.5264 8.1458
O 5.0109 2.9372 3.4425
O 6.3816 5.2424 3.3860
O 4.7964 1.0297 1.0670
O 6.3977 3.7417 1.0436
O 6.3049 1.9290 5.8038
O 7.8718 4.5653 5.9716
CELL_PARAMETERS angstrom
5.9645 0.0000 0.0000
2.9595 5.2091 0.0000
0.0978 0.1027 9.5699
```

* energy: -6.175 eV per atom
* calculated volume: 297.3 Å³ per cell
* SG: P1, No. 1

***

Li4Cr3Co3Te2O16: optimized geometry, PBE+U. Values from VASP.

Cell and atoms, written as Quantum ESPRESSO input:
```
&SYSTEM
  ibrav = 0, nat = 28, ntyp = 5
/
ATOMIC_SPECIES
Li 6.94 Li.upf
Cr 52.00 Cr.upf
Co 58.93 Co.upf
Te 127.60 Te.upf
O 16.00 O.upf
ATOMIC_POSITIONS angstrom
Li 0.0000 0.0000 0.0000
Li 0.0414 0.0000 4.9233
Li 3.3980 0.0000 5.6253
Li 6.7579 0.0000 0.7523
Cr 4.2343 1.4505 2.6934
Cr 4.2343 -1.4505 2.6934
Cr 8.4016 0.0000 7.5234
Co 1.7376 0.0000 2.6900
Co 5.9113 1.4442 7.5368
Co 5.9113 -1.4442 7.5368
Te 3.3367 0.0000 0.0571
Te 6.8198 0.0000 4.9211
O -0.0621 0.0000 6.7103
O 0.0354 0.0000 1.8124
O 2.5857 1.2924 1.4904
O 4.0752 1.4627 8.7808
O 1.5710 0.0000 8.7683
O 3.3602 0.0000 3.6690
O 5.9868 1.4965 3.8146
O 2.5857 -1.2924 1.4904
O 4.8786 0.0000 1.4159
O 5.2752 0.0000 6.1333
O 7.6185 1.3084 6.1611
O 4.0752 -1.4627 8.7808
O 6.7065 0.0000 8.4818
O 8.5362 0.0000 3.8327
O 5.9868 -1.4965 3.8146
O 7.6185 -1.3084 6.1611
CELL_PARAMETERS angstrom
5.1235 -2.9449 0.0000
5.1235 2.9449 0.0000
-0.1019 0.0000 9.6740
```

* energy: -6.177 eV per atom
* calculated volume: 291.9 Å³ per cell
* SG: Cm, No. 8

***

Li4Ti3Cr3Co2O16: optimized geometry, PBE+U. Values from VASP.

Cell and atoms, written as Quantum ESPRESSO input:
```
&SYSTEM
  ibrav = 0, nat = 28, ntyp = 5
/
ATOMIC_SPECIES
Li 6.94 Li.upf
Ti 47.87 Ti.upf
Cr 52.00 Cr.upf
Co 58.93 Co.upf
O 16.00 O.upf
ATOMIC_POSITIONS angstrom
Li 0.0000 0.0000 0.0000
Li -0.0384 0.1334 4.7642
Li -0.0451 3.5136 3.8262
Li 2.8920 1.8234 8.6776
Ti -1.3771 4.5414 6.9430
Ti 1.5018 4.2649 6.8306
Ti 2.8745 3.3721 2.2046
Cr -0.1147 1.8707 6.9032
Cr 1.4855 0.8417 1.9955
Cr 4.3885 0.9208 2.0688
Co -0.0744 3.4083 9.4966
Co 2.9563 1.7089 4.7124
O 0.0103 -0.0068 2.9865
O -0.1024 0.1027 7.8128
O -1.3558 2.8417 8.1537
O 0.0952 1.6785 1.0551
O -1.3846 4.3731 1.0214
O 1.3635 0.9319 5.8030
O -0.0636 3.5810 5.8425
O 1.2374 2.8118 8.1061
O 2.8723 -0.0200 8.0143
O 1.6099 2.4968 3.2933
O 2.8773 0.2749 3.2436
O 2.9395 1.8203 1.0328
O 1.5258 4.3330 1.0044
O 4.3333 0.9018 5.7754
O 2.8762 3.5313 5.8140
O 4.2328 2.5389 3.2908
CELL_PARAMETERS angstrom
5.8817 0.0000 0.0000
-2.8987 5.1441 0.0000
-0.1701 -0.2008 9.5863
```

* energy: -7.214 eV per atom
* calculated volume: 290.0 Å³ per cell
* SG: P1, No. 1

***

Li4Cr3Co3W2O16: optimized geometry, PBE+U. Values from VASP.

Cell and atoms, written as Quantum ESPRESSO input:
```
&SYSTEM
  ibrav = 0, nat = 28, ntyp = 5
/
ATOMIC_SPECIES
Li 6.94 Li.upf
Cr 52.00 Cr.upf
Co 58.93 Co.upf
W 183.84 W.upf
O 16.00 O.upf
ATOMIC_POSITIONS angstrom
Li 0.0000 0.0000 0.0000
Li -0.1453 0.0000 4.9020
Li 3.3458 0.0000 5.6503
Li 6.8566 0.0000 0.7927
Cr 4.1738 1.4448 2.6847
Cr 4.1738 -1.4448 2.6847
Cr 8.3370 0.0000 7.5246
Co 1.6354 0.0000 2.6957
Co 5.7948 1.4473 7.5507
Co 5.7948 -1.4473 7.5507
W 3.4017 0.0000 0.0441
W 6.7722 0.0000 4.9051
O -0.2111 0.0000 6.7288
O 2.6710 1.3322 1.3366
O 3.8730 1.4300 8.7593
O 1.3866 0.0000 8.7396
O 3.3266 0.0000 3.6995
O 5.8523 1.3957 3.9601
O 4.9062 0.0000 1.4346
O 2.6710 -1.3322 1.3366
O 5.2380 0.0000 6.2864
O 7.5644 1.2864 6.1810
O 3.8730 -1.4300 8.7593
O 6.5643 0.0000 8.4482
O 5.8523 -1.3957 3.9601
O 8.4329 0.0000 3.8286
O 7.5644 -1.2864 6.1810
O 10.2656 0.0000 1.8007
CELL_PARAMETERS angstrom
5.1849 -2.9365 0.0000
5.1849 2.9365 0.0000
-0.3658 0.0000 9.6970
```

* energy: -6.744 eV per atom
* calculated volume: 295.3 Å³ per cell
* SG: Cm, No. 8

***

Copy entry 5 word for word.
Li4Cr3Co3Sb2O16: optimized geometry, PBE+U. Values from VASP.

Cell and atoms, written as Quantum ESPRESSO input:
```
&SYSTEM
  ibrav = 0, nat = 28, ntyp = 5
/
ATOMIC_SPECIES
Li 6.94 Li.upf
Cr 52.00 Cr.upf
Co 58.93 Co.upf
Sb 121.76 Sb.upf
O 16.00 O.upf
ATOMIC_POSITIONS angstrom
Li 0.0000 0.0000 0.0000
Li -0.0495 0.0000 4.7555
Li 3.2268 0.0000 3.8907
Li 6.5441 0.0000 8.7108
Cr 4.0581 1.4364 6.8840
Cr 4.0581 -1.4364 6.8840
Cr 8.3307 0.0000 2.1068
Co 1.5865 0.0000 6.8969
Co 5.8471 1.4308 2.1102
Co 5.8471 -1.4308 2.1102
Sb 3.1875 0.0000 9.5240
Sb 6.6248 0.0000 4.7097
O 10.0283 0.0000 7.7715
O -0.0329 0.0000 2.9768
O 2.4192 1.2990 8.0897
O 4.1870 1.5003 0.9737
O 1.5932 0.0000 1.0291
O 5.7790 1.4893 5.7671
O 3.2031 0.0000 5.8765
O 2.4192 -1.2990 8.0897
O 4.7085 0.0000 8.1352
O 7.3694 1.3253 3.3076
O 5.1307 0.0000 3.2567
O 6.6222 0.0000 1.1321
O 4.1870 -1.5003 0.9737
O 5.7790 -1.4893 5.7671
O 8.3598 0.0000 5.6995
O 7.3694 -1.3253 3.3076
CELL_PARAMETERS angstrom
5.0680 -2.9280 0.0000
5.0680 2.9280 0.0000
-0.1273 0.0000 9.5554
```

* energy: -6.317 eV per atom
* calculated volume: 283.6 Å³ per cell
* SG: Cm, No. 8

***

Q: What is the formula in the third record?
A: Li3CrCo3O8